The following is a PBE calculation of an optimized crystal structure of AgPtCl, from Alexandria.

a b c (Å): 12.493 3.177 3.177
angles (deg): 58.69 90.00 90.00
Atoms (fractional coordinates):
Ag  0.000  0.000  0.000
Ag  0.500  0.138  0.138
Pt  0.170  0.344  0.344
Pt  0.830  0.344  0.344
Cl  0.332  0.808  0.808
Cl  0.668  0.808  0.808

Properties
Its density of states at the Fermi level is 6.5 states/eV per cell. As for the symmetry: No. 38. For the energy relative to the elements, uncorrected, the calculation gives 0.265 eV/atom.

The following is a PBE calculation of an optimized crystal structure of SrBiMo2Se, from Alexandria.

a b c (Å): 4.751 4.751 5.804
angles (deg): 90.00 90.00 90.00
Atoms (fractional coordinates):
Sr  0.000  0.000  0.000
Bi  0.500  0.500  0.000
Mo  0.000  0.500  0.500
Mo  0.500  0.000  0.500
Se  0.500  0.500  0.500

Properties
Its density of states at the Fermi level is 6.3 states/eV per cell. As for the symmetry: No. 123. For the energy relative to the elements, uncorrected, the calculation gives 0.765 eV/atom.

The following is a PBE calculation of an optimized crystal structure of Y2SbPt2, from Alexandria.

a b c (Å): 5.719 5.719 5.719
angles (deg): 123.63 123.63 83.82
Atoms (fractional coordinates):
Y  0.250  0.750  0.500
Y  0.750  0.250  0.500
Sb  0.000  0.000  0.000
Pt  0.352  0.352  0.000
Pt  0.648  0.648  0.000

Properties
Its density of states at the Fermi level is 2.7 states/eV per cell. As for the symmetry: No. 139. For the energy relative to the elements, uncorrected, the calculation gives -0.916 eV/atom.

The following is a PBE calculation of an optimized crystal structure of NaY2Bi2, from Alexandria.

a b c (Å): 8.830 8.830 3.961
angles (deg): 90.00 90.00 90.00
Atoms (fractional coordinates):
Na  0.000  0.000  0.000
Na  0.500  0.500  0.000
Y  0.137  0.363  0.000
Y  0.363  0.863  0.000
Y  0.637  0.137  0.000
Y  0.863  0.637  0.000
Bi  0.163  0.663  0.500
Bi  0.337  0.163  0.500
Bi  0.663  0.837  0.500
Bi  0.837  0.337  0.500

Properties
Its density of states at the Fermi level is 6.3 states/eV per cell. As for the symmetry: No. 127. The calculation puts the energy relative to the elements at -0.493 eV/atom.

The following is a PBE calculation of an optimized crystal structure of La8HRu3Cl4, from Alexandria.

a b c (Å): 9.034 9.034 9.034
angles (deg): 53.36 53.36 53.36
Atoms (fractional coordinates):
La  0.231  0.735  0.735
La  0.237  0.237  0.237
La  0.265  0.265  0.769
La  0.265  0.769  0.265
La  0.735  0.231  0.735
La  0.735  0.735  0.231
La  0.763  0.763  0.763
La  0.769  0.265  0.265
H  0.500  0.500  0.500
Ru  0.000  0.000  0.500
Ru  0.000  0.500  0.000
Ru  0.500  0.000  0.000
Cl  0.000  0.000  0.000
Cl  0.000  0.500  0.500
Cl  0.500  0.000  0.500
Cl  0.500  0.500  0.000

Properties
Its density of states at the Fermi level is 5.0 states/eV per cell. The value obtained for the calculated total energy is -94.48 eV for the cell shown. As for the symmetry: No. 166.

The following is a PBE calculation of an optimized crystal structure of Hf2ZnFe, from Alexandria.

a b c (Å): 5.802 5.802 5.802
angles (deg): 103.15 103.15 123.04
Atoms (fractional coordinates):
Hf  0.084  0.125  0.459
Hf  0.375  0.916  0.041
Hf  0.666  0.625  0.541
Hf  0.875  0.334  0.959
Zn  0.250  0.750  0.500
Zn  0.500  0.500  0.000
Fe  0.000  0.000  0.000
Fe  0.750  0.250  0.500

Properties
Its density of states at the Fermi level is 4.0 states/eV per cell. As for the symmetry: No. 122. The calculation puts the energy relative to the elements at 0.278 eV/atom.

The following is a PBE calculation of an optimized crystal structure of Si2Ru2I, from Alexandria.

a b c (Å): 7.360 7.360 2.938
angles (deg): 90.00 90.00 90.00
Atoms (fractional coordinates):
Si  0.134  0.366  0.000
Si  0.366  0.866  0.000
Si  0.634  0.134  0.000
Si  0.866  0.634  0.000
Ru  0.147  0.647  0.500
Ru  0.353  0.147  0.500
Ru  0.647  0.853  0.500
Ru  0.853  0.353  0.500
I  0.000  0.000  0.500
I  0.500  0.500  0.500

Properties
Its density of states at the Fermi level is 3.4 states/eV per cell. As for the symmetry: No. 127. For the energy relative to the elements, uncorrected, the calculation gives 0.060 eV/atom.

The following is a PBE calculation of an optimized crystal structure of K4Tb3GaS8, from Alexandria.

a b c (Å): 7.999 7.999 8.700
angles (deg): 117.39 117.39 59.96
Atoms (fractional coordinates):
K  0.000  0.000  0.000
K  0.000  0.500  0.000
K  0.500  0.000  0.000
K  0.500  0.500  0.000
Tb  0.000  0.000  0.500
Tb  0.000  0.500  0.500
Tb  0.500  0.000  0.500
Ga  0.500  0.500  0.500
S  0.235  0.235  0.704
S  0.250  0.723  0.696
S  0.276  0.276  0.303
S  0.277  0.750  0.304
S  0.723  0.250  0.696
S  0.724  0.724  0.697
S  0.750  0.277  0.304
S  0.765  0.765  0.296

Properties
As for the symmetry: No. 12. For the energy relative to the elements, uncorrected, the calculation gives -1.577 eV/atom.